VASP calculation (PBE with a Hubbard U) on a relaxed Pu2TlCoO8 crystal.

D(E_F) ... 6.10 states/eV/cell
Spin magnetization ... 8.00 μB per cell
Raw total energy ... -99.048 eV for the cell shown

abc: 4.8573 4.8571 6.9619
angles: 90.00 90.00 88.67
With the nearest neighbours (Å) after each atom.
Element x y z (fractional)
Pu (0.5000, 0.5000, 0.7580)  6 O 2.00-2.20
Pu (0.5000, 0.5000, 0.2420)  6 O 2.00-2.20
Tl (0.0000, 0.0000, 0.5000)  6 O 2.20-2.33
Co (0.0000, 0.0000, 0.0000)  6 O 2.13
O (0.2049, 0.7949, 0.2317)  1 Pu 2.00, 1 Co 2.13
O (0.6935, 0.6936, 0.0000)  1 Co 2.13, 2 Pu 2.16
O (0.7951, 0.2051, 0.2317)  1 Pu 2.00, 1 Co 2.13
O (0.7951, 0.2051, 0.7683)  1 Pu 2.00, 1 Co 2.13
O (0.3065, 0.3064, 0.0000)  1 Co 2.13, 2 Pu 2.16
O (0.2049, 0.7949, 0.7683)  1 Pu 2.00, 1 Co 2.13
O (0.6833, 0.6835, 0.5000)  1 Tl 2.20, 2 Pu 2.20
O (0.3167, 0.3165, 0.5000)  1 Tl 2.20, 2 Pu 2.20